CoMoIr2: relaxed, PBE.

For the formation energy, the calculation gives -167 meV per atom. The value obtained for the density of states at the Fermi level is 3.01 states/eV per cell. The energy relative to the lowest polymorph listed for this composition is 18.0 meV/atom. For the volume, the calculation gives 55.2 Å³ per cell.

It has space group P4/mmm (No. 123), with a = 3.830 Å, b = 3.830 Å, c = 3.765 Å, α = 90.00°, β = 90.00° and γ = 90.00°. The asymmetric unit holds Co at (0.000, 0.000, 0.000), Mo at (0.500, 0.500, 0.000) and Ir at (0.000, 0.500, 0.500).

TaCr2Si: relaxed, PBE.

The value obtained for the density of states at the Fermi level is 7.24 states/eV per cell. The value obtained for the formation energy (no corrections) is -0.07 eV per atom. For the volume, the calculation gives 108.5 Å³ per cell.

It has space group Immm (No. 71), with a = 3.179 Å, b = 4.216 Å, c = 8.095 Å, α = 90.00°, β = 90.00° and γ = 90.00°. The asymmetric unit holds Ta at (0.000, 0.000, 0.000), Cr at (0.000, 0.500, 0.252) and Si at (0.000, 0.000, 0.500).

Ce2ThBi9: relaxed, PBE.

For the formation energy, the calculation gives -416 meV per atom. The value obtained for the density of states at the Fermi level is 15.28 states/eV per cell. For the volume, the calculation gives 367.0 Å³ per cell.

It has space group P4/mmm (No. 123), with a = 5.001 Å, b = 5.001 Å, c = 14.670 Å, α = 90.00°, β = 90.00° and γ = 90.00°. The asymmetric unit holds Ce at (0.000, 0.000, 0.166), Th at (0.000, 0.000, 0.500), Bi at (0.000, 0.500, 0.000), Bi at (0.000, 0.500, 0.333), Bi at (0.500, 0.500, 0.166) and Bi at (0.500, 0.500, 0.500).

Mg2ScW: relaxed, PBE.

For the formation energy, the calculation gives 500 meV per atom. The value obtained for the density of states at the Fermi level is 10.08 states/eV per cell. The energy relative to the lowest polymorph listed for this composition is 311.0 meV/atom. For the volume, the calculation gives 307.4 Å³ per cell.

It has space group Fm-3m (No. 225), with a = 6.749 Å, b = 6.749 Å, c = 6.749 Å, α = 90.00°, β = 90.00° and γ = 90.00°. The asymmetric unit holds Mg at (0.250, 0.250, 0.250), Sc at (0.000, 0.000, 0.000) and W at (0.000, 0.000, 0.500).

K3Cd2AgF9: relaxed, PBE.

The value obtained for the density of states at the Fermi level is 2.88 states/eV per cell. The value obtained for the formation energy (no corrections) is -2.22 eV per atom. For the volume, the calculation gives 264.7 Å³ per cell.

It has space group P-3m1 (No. 164), with a = 6.2903 Å, b = 6.2903 Å, c = 7.7261 Å, α = 90.00°, β = 90.00° and γ = 120.00°. The asymmetric unit holds K at (0.0000, 0.0000, 0.0000), K at (0.3333, 0.6667, 0.6519), Cd at (0.3333, 0.6667, 0.1655), Ag at (0.0000, 0.0000, 0.5000), F at (0.0000, 0.5000, 0.0000) and F at (0.1688, 0.3377, 0.3361).

AcErZnGe: relaxed, PBE.

For the formation energy, the calculation gives -414 meV per atom. The value obtained for the density of states at the Fermi level is 12.89 states/eV per cell. For the volume, the calculation gives 412.4 Å³ per cell.

It has space group F-43m (No. 216), with a = 7.443 Å, b = 7.443 Å, c = 7.443 Å, α = 90.00°, β = 90.00° and γ = 90.00°. The asymmetric unit holds Ac at (0.000, 0.000, 0.000), Er at (0.000, 0.000, 0.500), Zn at (0.250, 0.250, 0.250) and Ge at (0.250, 0.250, 0.750).

> What is the volume in the fourth record?

307.4 Å³ per cell